This record from Alexandria via LeMat-Bulk describes crystalline Pm2Sm4Tm3 at its relaxed geometry. The functional is PBE.

Geometry as POSCAR:
```
Pm2Sm4Tm3
1.0
3.608 0.000 0.000
-1.804 3.124 0.000
0.000 0.000 26.562
Pm Sm Tm
2 4 3
direct
0.000 0.000 0.000
0.000 0.000 0.213
0.000 0.000 0.348
0.000 0.000 0.560
0.333 0.667 0.673
0.333 0.667 0.887
0.000 0.000 0.780
0.333 0.667 0.108
0.333 0.667 0.453
```

Results
The calculation puts the relative energy among the computed polymorphs at 0 meV per atom. The value obtained for the volume is 33.3 Å³ per atom. The calculation puts the formation energy at 0.050 eV per atom. The total DFT energy (no corrections) comes out at -4.593 eV per atom. As for the crystal system: trigonal.

This record from Alexandria via LeMat-Bulk describes crystalline Pm8Sm6Tm at its relaxed geometry. The functional is PBE.

Geometry as POSCAR:
```
Pm8Sm6Tm
1.0
9.477 0.000 0.000
-4.739 8.207 0.000
0.000 0.000 6.650
Pm Sm Tm
8 6 1
direct
0.030 0.749 0.165
0.251 0.281 0.165
0.281 0.030 0.835
0.333 0.667 0.114
0.667 0.333 0.886
0.719 0.970 0.165
0.749 0.719 0.835
0.970 0.251 0.835
0.087 0.654 0.659
0.346 0.433 0.659
0.433 0.087 0.341
0.567 0.913 0.659
0.654 0.567 0.341
0.913 0.346 0.341
0.000 0.000 0.500
```

Results
The calculation puts the relative energy among the computed polymorphs at 50 meV per atom. The value obtained for the volume is 34.5 Å³ per atom. The calculation puts the formation energy at 0.164 eV per atom. The total DFT energy (no corrections) comes out at -4.555 eV per atom. As for the crystal system: trigonal.

This record from Alexandria via LeMat-Bulk describes crystalline Pm3Sm3Tm8 at its relaxed geometry. The functional is PBE.

Geometry as POSCAR:
```
Pm3Sm3Tm8
1.0
-2.812 5.343 7.548
2.812 -5.343 7.548
2.812 5.343 -7.548
Pm Sm Tm
3 3 8
direct
0.000 0.000 0.000
0.187 0.687 0.500
0.813 0.313 0.500
0.199 0.500 0.699
0.500 0.500 0.000
0.801 0.500 0.301
0.118 0.280 0.838
0.238 0.897 0.341
0.441 0.280 0.162
0.444 0.103 0.341
0.556 0.897 0.659
0.559 0.720 0.838
0.762 0.103 0.659
0.882 0.720 0.162
```

Results
The value obtained for the volume is 32.4 Å³ per atom. The calculation puts the formation energy at 0.114 eV per atom. The total DFT energy (no corrections) comes out at -4.471 eV per atom. As for the crystal system: orthorhombic.

This record from Alexandria via LeMat-Bulk describes crystalline Pm3SmTm at its relaxed geometry. The functional is PBE.

Geometry as POSCAR:
```
Pm3SmTm
1.0
9.057 -3.143 0.000
9.057 3.143 0.000
-3.650 0.000 11.723
Pm Sm Tm
12 4 4
direct
0.118 0.282 0.249
0.199 0.701 0.999
0.282 0.118 0.749
0.299 0.801 0.501
0.317 0.484 0.250
0.484 0.317 0.750
0.516 0.683 0.250
0.683 0.516 0.750
0.701 0.199 0.499
0.718 0.882 0.251
0.801 0.299 0.001
0.882 0.718 0.751
0.099 0.600 0.501
0.400 0.901 0.999
0.600 0.099 0.001
0.901 0.400 0.499
0.000 0.500 0.000
0.084 0.916 0.750
0.500 0.000 0.500
0.916 0.084 0.250
```

Results
The calculation puts the relative energy among the computed polymorphs at 0 meV per atom. The value obtained for the volume is 33.4 Å³ per atom. The calculation puts the formation energy at 0.006 eV per atom. The total DFT energy (no corrections) comes out at -4.683 eV per atom. As for the crystal system: monoclinic.

Question: Which formula does entry 4 have?
Answer: Pm3SmTm